Computed, not measured: a geometry-optimized MgMn2Cd structure at the PBE level of DFT.

CIF file:
```
data_MgMn2Cd
_symmetry_space_group_name_H-M 'I -4 2 d'
_symmetry_Int_Tables_number 122
_symmetry_space_group_name_Hall 'I -4 2bw'
_cell_length_a 7.436
_cell_length_b 7.436
_cell_length_c 5.554
_cell_angle_alpha 90.00
_cell_angle_beta 90.00
_cell_angle_gamma 90.00
loop_
_atom_site_label
_atom_site_type_symbol
_atom_site_fract_x
_atom_site_fract_y
_atom_site_fract_z
Mg1 Mg 0.000 0.000 0.000
Mn1 Mn 0.244 0.250 0.625
Cd1 Cd 0.000 0.000 0.500
```

Results
Calculated formation energy ... 2.57 eV/f.u.
E_tot ... -73.1 eV/cell

---

Computed, not measured: a geometry-optimized MgMn2Cd structure at the PBE level of DFT.

CIF file:
```
data_MgMn2Cd
_symmetry_space_group_name_H-M 'I -4 m 2'
_symmetry_Int_Tables_number 119
_symmetry_space_group_name_Hall 'I -4 -2'
_cell_length_a 4.083
_cell_length_b 4.083
_cell_length_c 8.403
_cell_angle_alpha 90.00
_cell_angle_beta 90.00
_cell_angle_gamma 90.00
loop_
_atom_site_label
_atom_site_type_symbol
_atom_site_fract_x
_atom_site_fract_y
_atom_site_fract_z
Mg1 Mg 0.000 0.000 0.000
Mn1 Mn 0.000 0.000 0.500
Mn2 Mn 0.000 0.500 0.750
Cd1 Cd 0.000 0.500 0.250
```

Results
Calculated formation energy ... 1.27 eV/f.u.
E_tot ... -39.2 eV/cell

---

Computed, not measured: a geometry-optimized MgMn2Cd structure at the PBE level of DFT.

CIF file:
```
data_MgMn2Cd
_symmetry_space_group_name_H-M 'P 4 m m'
_symmetry_Int_Tables_number 99
_symmetry_space_group_name_Hall 'P 4 -2'
_cell_length_a 2.910
_cell_length_b 2.910
_cell_length_c 7.517
_cell_angle_alpha 90.00
_cell_angle_beta 90.00
_cell_angle_gamma 90.00
loop_
_atom_site_label
_atom_site_type_symbol
_atom_site_fract_x
_atom_site_fract_y
_atom_site_fract_z
Mg1 Mg 0.000 0.000 0.000
Mn1 Mn 0.000 0.000 0.413
Mn2 Mn 0.500 0.500 0.252
Cd1 Cd 0.500 0.500 0.682
```

Results
Calculated formation energy ... 0.61 eV/f.u.
E_tot ... -20.2 eV/cell

---

Computed, not measured: a geometry-optimized Mg4MnCd structure at the PBE level of DFT.

CIF file:
```
data_Mg4MnCd
_symmetry_space_group_name_H-M 'F -4 3 m'
_symmetry_Int_Tables_number 216
_symmetry_space_group_name_Hall 'F -4 2 3'
_cell_length_a 8.063
_cell_length_b 8.063
_cell_length_c 8.063
_cell_angle_alpha 90.00
_cell_angle_beta 90.00
_cell_angle_gamma 90.00
loop_
_atom_site_label
_atom_site_type_symbol
_atom_site_fract_x
_atom_site_fract_y
_atom_site_fract_z
Mg1 Mg 0.125 0.125 0.125
Mn1 Mn 0.250 0.250 0.750
Cd1 Cd 0.000 0.000 0.500
```

Results
Calculated formation energy ... 1.75 eV/f.u.
E_tot ... -58.9 eV/cell

---

Among the records above, which one has the lowest E_tot?
number 1